Entry 1:
Ni2TeAs after structural relaxation, computed with PBE.

```
Ni2TeAs
1.0
3.7286 -1.6873 0.0000
3.7286 1.6873 0.0000
-2.2244 0.0000 5.8652
Ni Te As
2 1 1
Direct
0.0000 0.0000 0.0000
0.2336 0.2336 0.8096
0.7659 0.7659 0.2030
0.4959 0.4959 0.6916
```

Calculated values
space group: Cm
ΔE_f (raw): -0.1188 eV/atom

Entry 2:
SrGa2IrRh after structural relaxation, computed with PBE.

```
SrGa2IrRh
1.0
-2.1877 2.1877 5.1273
2.1877 -2.1877 5.1273
2.1877 2.1877 -5.1273
Sr Ga Ir Rh
1 2 1 1
Direct
0.0000 0.0000 0.0000
0.3661 0.3661 0.0000
0.6339 0.6339 0.0000
0.2500 0.7500 0.5000
0.7500 0.2500 0.5000
```

Calculated values
E: -5.420 eV per atom
space group: I-4m2

Entry 3:
MgSb2Rh after structural relaxation, computed with PBE.

```
MgSb2Rh
1.0
3.0690 -3.8513 0.0000
3.0690 3.8513 0.0000
-0.0737 0.0000 3.4854
Mg Sb Rh
1 2 1
Direct
0.0000 0.0000 0.0000
0.0000 0.5000 0.5000
0.5000 0.0000 0.5000
0.5000 0.5000 0.0000
```

Calculated values
space group: C2/m
ΔE_f (raw): -0.1116 eV/atom

Entry 4:
LiCePm2 after structural relaxation, computed with PBE.

```
LiCePm2
1.0
1.7441 1.0070 11.4945
-1.7441 1.0070 11.4945
0.0000 -2.0139 11.4945
Li Ce Pm
1 1 2
Direct
0.0000 0.0000 0.0000
0.8335 0.8335 0.8335
0.4152 0.4152 0.4152
0.5851 0.5851 0.5851
```

Calculated values
excess energy over the best structure of this formula in the dataset: 0.16 eV per formula unit
space group: R3m

Copy entry 1 word for word.
Ni2TeAs after structural relaxation, computed with PBE.

```
Ni2TeAs
1.0
3.7286 -1.6873 0.0000
3.7286 1.6873 0.0000
-2.2244 0.0000 5.8652
Ni Te As
2 1 1
Direct
0.0000 0.0000 0.0000
0.2336 0.2336 0.8096
0.7659 0.7659 0.2030
0.4959 0.4959 0.6916
```

Calculated values
space group: Cm
ΔE_f (raw): -0.1188 eV/atom

Copy entry 1 word for word.
Ni2TeAs after structural relaxation, computed with PBE.

```
Ni2TeAs
1.0
3.7286 -1.6873 0.0000
3.7286 1.6873 0.0000
-2.2244 0.0000 5.8652
Ni Te As
2 1 1
Direct
0.0000 0.0000 0.0000
0.2336 0.2336 0.8096
0.7659 0.7659 0.2030
0.4959 0.4959 0.6916
```

Calculated values
space group: Cm
ΔE_f (raw): -0.1188 eV/atom

What is the formula in the fourth record?
LiCePm2